Y2CdAs2 | PBEsol | optimized geometry

Cell lengths 3.780, 7.633, 7.633 Å; angles 90.00, 90.00, 90.00 degrees
Sites, in units of the cell vectors:
Y  0.500  0.156  0.656
As  0.000  0.850  0.650
As  0.000  0.650  0.150
Y  0.500  0.344  0.156
Y  0.500  0.844  0.344
As  0.000  0.350  0.850
Y  0.500  0.656  0.844
Cd  0.000  0.000  0.000
Cd  0.000  0.500  0.500
As  0.000  0.150  0.350

Values from the calculation:
Mass density (g cm⁻³): 6.64
Formation energy (meV/atom): -1064

---

TlZn2Br | PBEsol | optimized geometry

Cell lengths 3.467, 3.467, 7.311 Å; angles 90.00, 90.00, 90.00 degrees
Sites, in units of the cell vectors:
Br  0.500  0.500  0.000
Tl  0.500  0.500  0.500
Zn  0.000  0.000  0.244
Zn  0.000  0.000  0.756

Values from the calculation:
Mass density (g cm⁻³): 7.84
Uncorrected formation energy (meV per atom): 61

---

La2MgCd2 | PBEsol | optimized geometry

Cell lengths 4.934, 7.550, 7.550 Å; angles 90.00, 90.00, 90.00 degrees
Sites, in units of the cell vectors:
Cd  0.000  0.640  0.140
Mg  0.000  0.500  0.500
Cd  0.000  0.140  0.360
Mg  0.000  0.000  0.000
Cd  0.000  0.860  0.640
La  0.500  0.656  0.844
La  0.500  0.344  0.156
Cd  0.000  0.360  0.860
La  0.500  0.844  0.344
La  0.500  0.156  0.656

Values from the calculation:
Mass density (g cm⁻³): 6.22
Formation energy (meV/atom): -242

---

HfScHg2Sb | PBEsol | optimized geometry

Cell lengths 5.125, 5.125, 5.212 Å; angles 90.00, 90.00, 90.00 degrees
Sites, in units of the cell vectors:
Hg  0.000  0.500  0.000
Sb  0.000  0.000  0.500
Hg  0.500  0.000  0.000
Hf  0.500  0.500  0.500
Sc  0.000  0.000  0.000

Values from the calculation:
Mass density (g cm⁻³): 9.05
Uncorrected formation energy (meV per atom): 693

---

TiCu2I | PBEsol | optimized geometry

Cell lengths 4.584, 4.584, 4.584 Å; angles 60.00, 60.00, 60.00 degrees
Site moments in Bohr magnetons follow the coordinates.
Sites, in units of the cell vectors:
Ti  0.000  0.000  0.000  0.70
Cu  0.250  0.250  0.250  0.01
I  0.500  0.500  0.500  0.00
Cu  0.750  0.750  0.750  0.01

Values from the calculation:
Mass density (g cm⁻³): 7.36
Uncorrected formation energy (meV per atom): 697

---

TcMo2W | PBEsol | optimized geometry

Cell lengths 2.710, 4.397, 5.152 Å; angles 90.00, 100.45, 90.00 degrees
Sites, in units of the cell vectors:
Mo  0.757  0.000  0.751
Tc  0.500  0.500  0.000
W  0.000  0.500  0.500
Mo  0.243  0.000  0.249

Values from the calculation:
Mass density (g cm⁻³): 13.03
Formation energy (meV/atom): 58